[1]
A geometry-optimized Pa3NbSi6 structure. Source: the Alexandria database, functional GGA-PBE.

```
20
Lattice="7.242 0.000 -0.888 -1.004 7.172 -0.888 0.000 0.000 7.296" Properties=species:S:1:pos:R:3 pbc="T T T"
Pa 0.603 5.379 1.450
Pa 2.077 1.342 5.028
Pa 1.121 4.928 5.098
Pa 5.117 2.243 0.422
Pa 4.161 5.829 0.492
Pa 5.635 1.793 4.070
Nb 0.000 0.000 0.000
Nb 3.119 3.586 2.760
Si 5.960 4.495 5.787
Si 0.053 0.646 2.625
Si 0.507 2.940 3.027
Si 2.683 0.142 0.308
Si 2.486 3.444 0.135
Si 2.888 6.262 3.068
Si 3.350 0.909 2.452
Si 3.751 3.727 5.385
Si 3.555 7.029 5.211
Si 5.731 4.232 2.493
Si 6.185 6.525 2.894
Si 0.278 2.677 -0.267
```

Computed properties:
The calculation puts the magnetic moment at 0.0000 μB per atom. The uncorrected formation energy comes out at -509 meV per atom. The space group is R-3c (167). The value obtained for the total energy is -7.618 eV per atom.

[2]
A geometry-optimized ScCr2Mo structure. Source: the Alexandria database, functional GGA-PBE.

```
4
Lattice="-2.066 -3.800 0.953 -0.334 -3.170 -3.075 2.330 -3.743 0.417" Properties=species:S:1:pos:R:3 pbc="T T T"
Cr 0.000 0.000 0.000
Cr -0.017 -2.679 -0.426
Mo -0.035 -5.357 -0.853
Sc -0.052 -8.036 -1.279
```

Computed properties:
The calculation puts the magnetic moment at 0.5627 μB per atom. For the formation energy, the calculation gives 0.279 eV per atom. The space group is F-43m (216). The value obtained for the total energy is -8.824 eV per atom.